DFT (PBE-GGA) results for a relaxed structure of Ac2PrMg6.

Summary:
formation energy from the elements = -71 meV/atom
total magnetic moment = 0.000 μB per cell

abc: 9.3487 9.3487 3.6078
angles: 90.00 90.00 120.00
Atoms (fractional coordinates):
Ac 0.3333 0.6667 0.0000
Ac 0.6667 0.3333 0.0000
Pr 0.0000 0.0000 0.0000
Mg 0.0000 0.3279 0.5000
Mg 0.0000 0.6721 0.5000
Mg 0.3279 0.0000 0.5000
Mg 0.3279 0.3279 0.5000
Mg 0.6721 0.0000 0.5000
Mg 0.6721 0.6721 0.5000


DFT (PBE-GGA) results for a relaxed structure of P3PtS.

Summary:
ΔE to the lowest computed polymorph = 10 meV/atom
total magnetic moment = 0.000 μB per cell
formation energy from raw total energies = 1027 meV per atom

abc: 4.3892 4.3892 4.3892
angles: 90.00 90.00 90.00
Atoms (fractional coordinates):
P 0.0000 0.0000 0.5000
P 0.0000 0.5000 0.0000
P 0.5000 0.0000 0.0000
Pt 0.5000 0.5000 0.5000
S 0.0000 0.0000 0.0000


DFT (PBE-GGA) results for a relaxed structure of RuAu4.

Summary:
ΔE to the lowest computed polymorph = 337 meV/atom
formation energy from the elements = 626 meV/atom
total magnetic moment = 2.639 μB per cell

abc: 7.5058 7.5058 7.5058
angles: 150.98 150.98 41.50
Atoms (fractional coordinates):
Ru 0.0000 0.0000 0.0000
Au 0.2500 0.7500 0.5000
Au 0.4054 0.4054 0.0000
Au 0.5946 0.5946 0.0000
Au 0.7500 0.2500 0.5000


DFT (PBE-GGA) results for a relaxed structure of MoAu2Br.

Summary:
ΔE to the lowest computed polymorph = 500 meV/atom
total magnetic moment = 3.716 μB per cell
formation energy from raw total energies = 722 meV per atom

abc: 3.9415 3.9415 5.2788
angles: 90.00 90.00 90.00
Atoms (fractional coordinates):
Mo 0.0000 0.0000 0.0000
Au 0.0000 0.5000 0.5000
Au 0.5000 0.0000 0.5000
Br 0.5000 0.5000 0.0000


DFT (PBE-GGA) results for a relaxed structure of SrHg6Pb12.

Summary:
ΔE to the lowest computed polymorph = 0 meV/atom
formation energy from the elements = -4 meV/atom
total magnetic moment = 0.000 μB per cell

abc: 8.3412 8.3412 8.3412
angles: 88.01 88.01 88.01
Atoms (fractional coordinates):
Sr 0.0000 0.0000 0.0000
Hg 0.1272 0.2660 0.7327
Hg 0.2660 0.7327 0.1272
Hg 0.2673 0.8728 0.7340
Hg 0.7327 0.1272 0.2660
Hg 0.7340 0.2673 0.8728
Hg 0.8728 0.7340 0.2673
Pb 0.0339 0.3838 0.1649
Pb 0.1649 0.0339 0.3838
Pb 0.1968 0.5609 0.4740
Pb 0.3838 0.1649 0.0339
Pb 0.4391 0.5260 0.8032
Pb 0.4740 0.1968 0.5609
Pb 0.5260 0.8032 0.4391
Pb 0.5609 0.4740 0.1968
Pb 0.6162 0.8351 0.9661
Pb 0.8032 0.4391 0.5260
Pb 0.8351 0.9661 0.6162
Pb 0.9661 0.6162 0.8351


DFT (PBE-GGA) results for a relaxed structure of Sr3AcHg6.

Summary:
formation energy from the elements = -470 meV/atom
total magnetic moment = 0.000 μB per cell

abc: 9.8054 5.5617 11.8054
angles: 90.00 106.42 90.00
Atoms (fractional coordinates):
Sr 0.0242 0.2500 0.3897
Sr 0.1489 0.7500 0.1999
Sr 0.2663 0.2500 0.9993
Sr 0.7337 0.7500 0.0007
Sr 0.8511 0.2500 0.8001
Sr 0.9758 0.7500 0.6103
Ac 0.4387 0.2500 0.6220
Ac 0.5613 0.7500 0.3780
Hg 0.0459 0.7500 0.9071
Hg 0.1451 0.2500 0.7044
Hg 0.2599 0.7500 0.4924
Hg 0.3431 0.2500 0.3177
Hg 0.3587 0.7500 0.7958
Hg 0.4353 0.7500 0.0849
Hg 0.5647 0.2500 0.9151
Hg 0.6413 0.2500 0.2042
Hg 0.6569 0.7500 0.6823
Hg 0.7401 0.2500 0.5076
Hg 0.8549 0.7500 0.2956
Hg 0.9541 0.2500 0.0929


DFT (PBE-GGA) results for a relaxed structure of ZrSb5.

Summary:
ΔE to the lowest computed polymorph = 435 meV/atom
total magnetic moment = 0.000 μB per cell
formation energy from raw total energies = 358 meV per atom

abc: 6.1477 6.1477 6.1477
angles: 60.00 60.00 60.00
Atoms (fractional coordinates):
Zr 0.0000 0.0000 0.0000
Sb 0.3750 0.3750 0.3750
Sb 0.3750 0.3750 0.8751
Sb 0.3750 0.8751 0.3750
Sb 0.7500 0.7500 0.7500
Sb 0.8751 0.3750 0.3750


DFT (PBE-GGA) results for a relaxed structure of AcLaEuHo.

Summary:
formation energy from the elements = 107 meV/atom
total magnetic moment = 7.568 μB per cell

abc: 6.0119 6.0119 6.0119
angles: 60.00 60.00 60.00
Atoms (fractional coordinates):
Ac 0.0000 0.0000 0.0000
La 0.5000 0.5000 0.5000
Eu 0.7500 0.7500 0.7500
Ho 0.2500 0.2500 0.2500